Record 1
Entry from the Alexandria database: CeDy4Pb5 after structural relaxation (PBE-GGA).

Cell lengths 4.0739, 4.0739, 17.3279 Å; angles 90.00, 90.00, 90.00 degrees
With the nearest neighbours (Å) after each atom.
Space group P4/mmm (No. 123)
Symmetry-distinct sites (fractional):
Ce 0.0000 0.0000 0.0000 [1 per cell]  8 Pb 3.40, 2 Dy 3.46
Dy 0.0000 0.0000 0.1998 [2 per cell]  8 Pb 3.32-3.37, 1 Ce 3.46, 1 Dy 3.47
Dy 0.0000 0.0000 0.3999 [2 per cell]  8 Pb 3.36, 2 Dy 3.47
Pb 0.5000 0.5000 0.1047 [2 per cell]  4 Dy 3.32, 2 Pb 3.40-3.63, 4 Ce 3.40
Pb 0.5000 0.5000 0.3006 [2 per cell]  8 Dy 3.36-3.37, 2 Pb 3.40-3.45
Pb 0.5000 0.5000 0.5000 [1 per cell]  8 Dy 3.36, 2 Pb 3.45

Properties
Formation energy = -0.40 eV per atom
E = -46.86 eV per formula unit

---

Record 2
Entry from the Alexandria database: Mg6Cd8Hg after structural relaxation (PBE-GGA).

Cell lengths 7.8221, 7.8221, 19.1359 Å; angles 90.00, 90.00, 120.00 degrees
With the nearest neighbours (Å) after each atom.
Space group R-3 (No. 148, hexagonal axes)
Symmetry-distinct sites (fractional):
Mg 0.0200 0.7609 0.2087 [18 per cell]  5 Cd 2.94-3.22, 1 Mg 3.00, 1 Hg 3.00
Cd 0.0000 0.0000 0.0884 [6 per cell]  3 Cd 2.98, 6 Mg 3.02-3.17
Cd 0.0389 0.2684 0.6321 [18 per cell]  3 Mg 2.94-3.22, 4 Cd 2.98-3.10, 1 Hg 3.20
Hg 0.0000 0.0000 0.5000 [3 per cell]  6 Mg 3.00, 6 Cd 3.20

Properties
Formation energy = -0.04 eV per atom
E = -17.83 eV per formula unit

---

Record 3
Entry from the Alexandria database: PaTl2HSe4 after structural relaxation (PBE-GGA).

Cell lengths 7.1637, 4.0513, 8.1141 Å; angles 90.00, 109.97, 90.00 degrees
With the nearest neighbours (Å) after each atom.
Space group P2/m (No. 10)
Symmetry-distinct sites (fractional):
Pa 0.0000 0.0000 0.0000 [1 per cell]  6 Se 2.77-2.79
Tl 0.0000 0.5000 0.5000 [1 per cell]  6 Se 3.18-3.43
Tl 0.5000 0.0000 0.5000 [1 per cell]  6 Se 3.21-3.57
H 0.5000 0.5000 0.0000 [1 per cell]  4 Se 2.64
Se 0.2171 0.5000 0.2176 [2 per cell]  2 Pa 2.79, 1 H 3.11
Se 0.2797 0.0000 0.8342 [2 per cell]  2 H 2.64, 1 Pa 2.77

Properties
E = -34.85 eV per formula unit

---

Record 4
Entry from the Alexandria database: GaSn3Bi after structural relaxation (PBE-GGA).

Cell lengths 5.9383, 5.9383, 5.9383 Å; angles 90.00, 90.00, 90.00 degrees
With the nearest neighbours (Å) after each atom.
Space group Pm-3m (No. 221)
Symmetry-distinct sites (fractional):
Ga 0.0000 0.0000 0.0000 [1 per cell]  12 Sn 4.20
Sn 0.0000 0.5000 0.5000 [3 per cell]  2 Bi 2.97
Bi 0.5000 0.5000 0.5000 [1 per cell]  6 Sn 2.97

Properties
Formation energy = 0.80 eV per atom
E = -14.89 eV per formula unit
Energy relative to the lowest polymorph listed for this composition = 0.496 eV/atom

---

Record 5
Entry from the Alexandria database: SrEuIn after structural relaxation (PBE-GGA).

Cell lengths 7.9721, 7.9721, 7.9721 Å; angles 90.00, 90.00, 90.00 degrees
With the nearest neighbours (Å) after each atom.
Space group F-43m (No. 216)
Symmetry-distinct sites (fractional):
Sr 0.0000 0.0000 0.0000 [4 per cell]  4 In 3.45
Eu 0.0000 0.0000 0.5000 [4 per cell]  4 In 3.45
In 0.2500 0.2500 0.7500 [4 per cell]  4 Sr 3.45, 4 Eu 3.45

Properties
Formation energy = -0.19 eV per atom
E = -15.27 eV per formula unit
Energy relative to the lowest polymorph listed for this composition = 0.011 eV/atom

---

Record 6
Entry from the Alexandria database: Cr2Pt after structural relaxation (PBE-GGA).

Cell lengths 6.0114, 6.0114, 6.0114 Å; angles 90.00, 90.00, 90.00 degrees
With the nearest neighbours (Å) after each atom.
Space group Fm-3m (No. 225)
Symmetry-distinct sites (fractional):
Cr 0.2500 0.2500 0.2500 [8 per cell]  4 Pt 2.60
Pt 0.0000 0.0000 0.0000 [4 per cell]  8 Cr 2.60

Properties
Formation energy = 0.57 eV per atom
E = -23.58 eV per formula unit

---

Record 7
Entry from the Alexandria database: Ba2ZnGa4Si3 after structural relaxation (PBE-GGA).

Cell lengths 4.6714, 4.6714, 10.1372 Å; angles 90.00, 90.00, 90.00 degrees
With the nearest neighbours (Å) after each atom.
Space group P-4m2 (No. 115)
Symmetry-distinct sites (fractional):
Ba 0.0000 0.5000 0.2476 [2 per cell]  2 Zn 3.43, 7 Si 3.43-3.77, 9 Ga 3.46-3.78
Zn 0.5000 0.5000 0.0000 [1 per cell]  4 Ga 2.66
Ga 0.0000 0.0000 0.5000 [1 per cell]  4 Si 2.63
Ga 0.0000 0.5000 0.8743 [2 per cell]  3 Si 2.58-2.66, 2 Zn 2.66
Ga 0.5000 0.5000 0.5000 [1 per cell]  4 Si 2.63
Si 0.0000 0.0000 0.0000 [1 per cell]  4 Ga 2.66
Si 0.0000 0.5000 0.6198 [2 per cell]  5 Ga 2.58-2.63

Properties
ΔE_f (raw) = -6.53 kcal/mol of atoms
E = -36.33 eV per formula unit

---

Record 8
Entry from the Alexandria database: EuCoH after structural relaxation (PBE-GGA).

Cell lengths 4.4221, 8.2172, 6.8503 Å; angles 90.00, 128.23, 90.00 degrees
With the nearest neighbours (Å) after each atom.
Space group P2_1/c (No. 14)
Symmetry-distinct sites (fractional):
Eu 0.1782 0.1772 0.4198 [4 per cell]  3 H 2.41-2.58
Co 0.3038 0.5189 0.5609 [4 per cell]  2 H 1.67-1.80
H 0.2310 0.0588 0.7883 [4 per cell]  2 Co 1.67-1.80

Properties
E = -21.08 eV per formula unit

---

Record 9
Entry from the Alexandria database: MnRe2 after structural relaxation (PBE-GGA).

Cell lengths 3.8295, 3.8295, 22.7813 Å; angles 90.00, 90.00, 90.00 degrees
With the nearest neighbours (Å) after each atom.
Space group I4_1/amd (No. 141, origin choice 2)
Symmetry-distinct sites (fractional):
Mn 0.0000 0.2500 0.2910 [8 per cell]  10 Re 2.66-2.72, 2 Mn 2.67
Re 0.0000 0.2500 0.1258 [8 per cell]  4 Mn 2.69-2.72, 8 Re 2.71-2.73
Re 0.0000 0.2500 0.7901 [8 per cell]  6 Re 2.65-2.73, 6 Mn 2.66-2.71

Properties
Formation energy = 0.09 eV per atom
E = -33.79 eV per formula unit

---

Record 10
Entry from the Alexandria database: Y2CuAgH after structural relaxation (PBE-GGA).

Cell lengths 4.8864, 4.8864, 3.9175 Å; angles 90.00, 90.00, 90.00 degrees
With the nearest neighbours (Å) after each atom.
Space group P4/mmm (No. 123)
Symmetry-distinct sites (fractional):
Y 0.0000 0.5000 0.0000 [2 per cell]  2 H 2.44
Cu 0.0000 0.0000 0.5000 [1 per cell]  8 Y 3.13, 4 Ag 3.46
Ag 0.5000 0.5000 0.5000 [1 per cell]  2 H 1.96
H 0.5000 0.5000 0.0000 [1 per cell]  2 Ag 1.96

Properties
E = -24.34 eV per formula unit
Energy relative to the lowest polymorph listed for this composition = 0.079 eV/atom

---

Record 11
Entry from the Alexandria database: LiDy2PbS after structural relaxation (PBE-GGA).

Cell lengths 7.5329, 4.0215, 8.1169 Å; angles 90.00, 108.36, 90.00 degrees
With the nearest neighbours (Å) after each atom.
Space group P2_1/m (No. 11)
Symmetry-distinct sites (fractional):
Li 0.0519 0.2500 0.1434 [2 per cell]  1 S 2.30
Dy 0.2561 0.7500 0.5211 [2 per cell]  3 S 2.77-2.81
Dy 0.3826 0.7500 0.1137 [2 per cell]  2 S 2.73
Pb 0.1722 0.2500 0.7954 [2 per cell]  2 Li 2.77
S 0.3533 0.2500 0.3310 [2 per cell]  1 Li 2.30

Properties
ΔE_f (raw) = -23.44 kcal/mol of atoms
E = -24.04 eV per formula unit

---

Record 12
Entry from the Alexandria database: HoZrPd after structural relaxation (PBE-GGA).

Cell lengths 3.4447, 3.4447, 11.2313 Å; angles 90.00, 90.00, 90.00 degrees
With the nearest neighbours (Å) after each atom.
Space group I4mm (No. 107)
Symmetry-distinct sites (fractional):
Ho 0.0000 0.0000 0.0000 [2 per cell]  4 Pd 3.06, 5 Zr 3.30-3.39
Zr 0.0000 0.0000 0.3021 [2 per cell]  4 Pd 2.88
Pd 0.0000 0.0000 0.6645 [2 per cell]  4 Zr 2.88, 4 Ho 3.06

Properties
Formation energy = -0.45 eV per atom
E = -19.66 eV per formula unit

---

Please write out number 2 again, unchanged.
Entry from the Alexandria database: Mg6Cd8Hg after structural relaxation (PBE-GGA).

Cell lengths 7.8221, 7.8221, 19.1359 Å; angles 90.00, 90.00, 120.00 degrees
With the nearest neighbours (Å) after each atom.
Space group R-3 (No. 148, hexagonal axes)
Symmetry-distinct sites (fractional):
Mg 0.0200 0.7609 0.2087 [18 per cell]  5 Cd 2.94-3.22, 1 Mg 3.00, 1 Hg 3.00
Cd 0.0000 0.0000 0.0884 [6 per cell]  3 Cd 2.98, 6 Mg 3.02-3.17
Cd 0.0389 0.2684 0.6321 [18 per cell]  3 Mg 2.94-3.22, 4 Cd 2.98-3.10, 1 Hg 3.20
Hg 0.0000 0.0000 0.5000 [3 per cell]  6 Mg 3.00, 6 Cd 3.20

Properties
Formation energy = -0.04 eV per atom
E = -17.83 eV per formula unit

---

What is the formula in the first record?
CeDy4Pb5

---

E of number 5 (SrEuIn)?
-15.27 eV per formula unit

---

What did the twelfth record say?
Entry from the Alexandria database: HoZrPd after structural relaxation (PBE-GGA).

Cell lengths 3.4447, 3.4447, 11.2313 Å; angles 90.00, 90.00, 90.00 degrees
With the nearest neighbours (Å) after each atom.
Space group I4mm (No. 107)
Symmetry-distinct sites (fractional):
Ho 0.0000 0.0000 0.0000 [2 per cell]  4 Pd 3.06, 5 Zr 3.30-3.39
Zr 0.0000 0.0000 0.3021 [2 per cell]  4 Pd 2.88
Pd 0.0000 0.0000 0.6645 [2 per cell]  4 Zr 2.88, 4 Ho 3.06

Properties
Formation energy = -0.45 eV per atom
E = -19.66 eV per formula unit